## Np2Ni12As7 (PBE)

Data for a geometry-optimized Np2Ni12As7 structure.

Cell: 9.4077 9.4077 3.8251 Å, 90.00 90.00 120.00°
Atoms (fractional coordinates):
Np 0.0000 0.0000 0.0000
Np 0.3333 0.6667 0.5000
Ni 0.0451 0.2876 0.5000
Ni 0.1042 0.7164 0.0000
Ni 0.2424 0.9549 0.5000
Ni 0.2836 0.3878 0.0000
Ni 0.3877 0.1812 0.0000
Ni 0.5487 0.4272 0.5000
Ni 0.5728 0.1216 0.5000
Ni 0.6122 0.8958 0.0000
Ni 0.7124 0.7576 0.5000
Ni 0.7936 0.6123 0.0000
Ni 0.8188 0.2064 0.0000
Ni 0.8784 0.4513 0.5000
As 0.0705 0.4513 0.0000
As 0.2586 0.2222 0.5000
As 0.3808 0.9295 0.0000
As 0.5487 0.6192 0.0000
As 0.6667 0.3333 0.0000
As 0.7778 0.0364 0.5000
As 0.9636 0.7414 0.5000

Values from the calculation:
ΔE_f = -0.389 eV/atom
Symmetry = No. 174
V = 13.96 Å³/atom
N(E_F) = 26.787 states/eV/cell
E_tot = -0.238 Ha/atom

## Np4Ni3As8 (PBE)

Data for a geometry-optimized Np4Ni3As8 structure.

Cell: 3.9456 3.9456 18.1745 Å, 90.00 90.00 90.00°
Atoms (fractional coordinates):
Np 0.0000 0.5000 0.1166
Np 0.0000 0.5000 0.6316
Np 0.5000 0.0000 0.3684
Np 0.5000 0.0000 0.8834
Ni 0.0000 0.0000 0.0000
Ni 0.0000 0.0000 0.5000
Ni 0.5000 0.5000 0.5000
As 0.0000 0.0000 0.2427
As 0.0000 0.0000 0.7573
As 0.0000 0.5000 0.4205
As 0.0000 0.5000 0.9294
As 0.5000 0.0000 0.0706
As 0.5000 0.0000 0.5795
As 0.5000 0.5000 0.2429
As 0.5000 0.5000 0.7571

Values from the calculation:
ΔE_f = -0.542 eV/atom
Symmetry = No. 115
V = 18.86 Å³/atom
N(E_F) = 35.545 states/eV/cell
E_tot = -0.280 Ha/atom

## NpNiAs2 (PBE)

Data for a geometry-optimized NpNiAs2 structure.

Cell: 2.9517 2.9517 28.3731 Å, 90.00 90.00 120.00°
Atoms (fractional coordinates):
Np 0.0000 0.0000 0.0000
Np 0.3333 0.6667 0.6667
Np 0.6667 0.3333 0.3333
Ni 0.0000 0.0000 0.5000
Ni 0.3333 0.6667 0.1667
Ni 0.6667 0.3333 0.8333
As 0.0000 0.0000 0.1046
As 0.0000 0.0000 0.8954
As 0.3333 0.6667 0.5620
As 0.3333 0.6667 0.7713
As 0.6667 0.3333 0.2287
As 0.6667 0.3333 0.4380

Values from the calculation:
ΔE_f = 0.081 eV/atom
Symmetry = No. 166
V = 17.84 Å³/atom
N(E_F) = 11.480 states/eV/cell
E_tot = -0.254 Ha/atom

## Np2Ni5As3 (PBE)

Data for a geometry-optimized Np2Ni5As3 structure.

Cell: 12.0562 12.0562 6.9364 Å, 90.00 90.00 160.81°
Atoms (fractional coordinates):
Np 0.0411 0.9589 0.5000
Np 0.3335 0.6665 0.5894
Np 0.6665 0.3335 0.0894
Np 0.9589 0.0411 0.0000
Ni 0.0758 0.9242 0.0939
Ni 0.2107 0.7893 0.6800
Ni 0.2356 0.7644 0.3053
Ni 0.3567 0.6433 0.1410
Ni 0.4456 0.5544 0.3473
Ni 0.5544 0.4456 0.8473
Ni 0.6433 0.3567 0.6410
Ni 0.7644 0.2356 0.8053
Ni 0.7893 0.2107 0.1800
Ni 0.9242 0.0758 0.5939
As 0.1192 0.8808 0.8038
As 0.2688 0.7312 0.9851
As 0.4638 0.5362 0.6979
As 0.5362 0.4638 0.1979
As 0.7312 0.2688 0.4851
As 0.8808 0.1192 0.3038

Values from the calculation:
ΔE_f = -0.307 eV/atom
Symmetry = No. 36
V = 16.57 Å³/atom
N(E_F) = 45.660 states/eV/cell
E_tot = -0.264 Ha/atom